Here is a geometry-optimized OsAuNO structure from OQMD via LeMat-Bulk. Energies are from PBE-GGA.

Structure (POSCAR):
```
OsAuNO
1.0
-1.2904 -0.2096 3.4342
3.4358 0.1159 1.2980
-0.3410 6.8573 0.2904
Os N Au O
2 2 2 2
Direct
0.2500 0.2500 0.1638
0.7500 0.7500 0.8362
0.2500 0.2500 0.7410
0.7500 0.7500 0.2590
0.2500 0.7500 0.5000
0.7500 0.2500 0.5000
0.7500 0.2500 0.0000
0.2500 0.7500 0.0000
```

Output
* raw total energy: -5.580 eV per atom
* energy above the most stable polymorph in this dataset: 1.202 eV per atom

---

Here is a geometry-optimized GdHo2TmIn2 structure from OQMD via LeMat-Bulk. Energies are from PBE-GGA.

Structure (POSCAR):
```
GdHo2TmIn2
1.0
5.3631 0.0000 0.0000
-2.6815 4.6445 0.0000
0.0000 0.0000 6.6985
In Ho Tm Gd
2 2 1 1
Direct
0.3333 0.6667 0.5000
0.0000 0.0000 0.0000
0.6667 0.3333 0.2460
0.6667 0.3333 0.7540
0.3333 0.6667 0.0000
0.0000 0.0000 0.5000
```

Output
* raw total energy: -4.308 eV per atom

---

Here is a geometry-optimized Hf3B2Sb structure from OQMD via LeMat-Bulk. Energies are from PBE-GGA.

Structure (POSCAR):
```
Hf3B2Sb
1.0
3.4654 0.0000 0.0000
-1.7327 3.0011 0.0000
0.0000 0.0000 19.7098
Hf B Sb
6 4 2
Direct
0.3333 0.6667 0.8657
0.6667 0.3333 0.3657
0.0000 0.0000 0.0000
0.0000 0.0000 0.5000
0.3333 0.6667 0.6343
0.6667 0.3333 0.1343
0.6667 0.3333 0.5730
0.6667 0.3333 0.9270
0.3333 0.6667 0.4270
0.3333 0.6667 0.0730
0.0000 0.0000 0.7500
0.0000 0.0000 0.2500
```

Output
* raw total energy: -8.477 eV per atom

---

Here is a geometry-optimized Cs2CdH4 structure from OQMD via LeMat-Bulk. Energies are from PBE-GGA.

Structure (POSCAR):
```
Cs2CdH4
1.0
8.6391 0.0000 0.0000
0.0000 6.4121 0.0000
0.0000 0.0000 11.2843
H Cs Cd
16 8 4
Direct
0.5295 0.2500 0.0962
0.4705 0.7500 0.9038
0.1804 0.5140 0.8444
0.8196 0.0140 0.1556
0.1884 0.7500 0.0713
0.3196 0.0140 0.3444
0.9705 0.7500 0.5962
0.6804 0.9860 0.6556
0.0295 0.2500 0.4038
0.6804 0.5140 0.6556
0.8116 0.2500 0.9287
0.8196 0.4860 0.1556
0.1804 0.9860 0.8444
0.3196 0.4860 0.3444
0.3116 0.2500 0.5713
0.6884 0.7500 0.4287
0.3364 0.7500 0.5929
0.0168 0.7500 0.3123
0.6636 0.2500 0.4071
0.5168 0.7500 0.1877
0.8364 0.7500 0.9071
0.1636 0.2500 0.0929
0.4832 0.2500 0.8123
0.9832 0.2500 0.6877
0.2419 0.2500 0.4161
0.7419 0.2500 0.0839
0.2581 0.7500 0.9161
0.7581 0.7500 0.5839
```

Output
* raw total energy: -2.472 eV per atom